Here is crystalline Pr3TlTe at its relaxed geometry from Alexandria. Energies are from PBE.

Output
Energy above the most stable polymorph in this dataset: 85 meV/atom
Volume: 349.4 Å³ per cell
E_form (uncorrected): -0.62 eV/atom
Total magnetic moment: 0.00 μB/cell
Space group: P1, No. 1

Cell lengths 4.5475, 8.7892, 9.4317 Å; angles 67.94, 89.94, 90.01 degrees
Last column: nearest neighbours and their distance in Å.
Atoms (fractional coordinates):
Pr  0.8622  0.3910  0.7541  2 Te 3.15, 2 Tl 3.22
Pr  0.8621  0.9425  0.6927  2 Te 3.10, 3 Tl 3.21-3.29
Pr  0.8647  0.5537  0.0623  2 Te 3.30, 3 Tl 3.35-3.69, 1 Pr 3.69
Pr  0.3636  0.1630  0.1052  2 Tl 3.19, 2 Te 3.21-3.36
Pr  0.8641  0.7681  0.4082  2 Te 3.22, 1 Tl 3.40, 1 Pr 3.56
Pr  0.3633  0.3923  0.4277  2 Te 3.21-3.24, 2 Tl 3.27
Tl  0.3625  0.6584  0.7328  4 Pr 3.22-3.29
Tl  0.8632  0.1769  0.3368  7 Pr 3.19-3.40
Te  0.3646  0.7607  0.1690  6 Pr 3.22-3.36
Te  0.3620  0.1350  0.7756  6 Pr 3.10-3.21